No. 1
The following is a DFT calculation (meta-GGA SCAN) of a PBEsol-optimized structure of BaCo2.

a b c (Å): 3.346 3.346 5.359
angles (deg): 90.00 90.00 90.00
Site moments in Bohr magnetons follow the coordinates.
Atoms (fractional coordinates):
Co  0.000  0.500  0.500  1.70
Co  0.500  0.000  0.500  1.70
Ba  0.000  0.000  0.000  -0.21

Values from the calculation:
Fermi-level density of states   1.41 states/eV/cell
Theoretical density   7.1 g cm⁻³
Calculated volume   60.0 Å³/cell
Energy of formation from the pure elements   0.52 eV/atom
Space-group type   No. 123

---

No. 2
The following is a DFT calculation (meta-GGA SCAN) of a PBEsol-optimized structure of Sr3Sb.

a b c (Å): 7.260 8.672 10.463
angles (deg): 90.00 90.00 90.00
Site moments in Bohr magnetons follow the coordinates.
Atoms (fractional coordinates):
Sb  0.559  0.883  0.750  0.01
Sb  0.059  0.617  0.250  0.01
Sb  0.941  0.383  0.750  0.01
Sb  0.441  0.117  0.250  0.01
Sr  0.125  0.031  0.750  0.07
Sr  0.625  0.469  0.250  0.07
Sr  0.375  0.531  0.750  0.07
Sr  0.875  0.969  0.250  0.07
Sr  0.661  0.179  0.942  0.06
Sr  0.161  0.321  0.058  0.06
Sr  0.839  0.679  0.558  0.06
Sr  0.339  0.821  0.442  0.06
Sr  0.339  0.821  0.058  0.06
Sr  0.839  0.679  0.942  0.06
Sr  0.161  0.321  0.442  0.06
Sr  0.661  0.179  0.558  0.06

Values from the calculation:
Fermi-level density of states   8.39 states/eV/cell
Theoretical density   3.9 g cm⁻³
Calculated volume   658.7 Å³/cell
Formation energy without anion corrections   -664.2 meV/atom
Space-group type   No. 62

---

No. 3
The following is a DFT calculation (meta-GGA SCAN) of a PBEsol-optimized structure of Zr2ScZn.

a b c (Å): 3.124 3.124 8.248
angles (deg): 90.00 90.00 90.00
Atoms (fractional coordinates):
Sc  0.500  0.500  0.000
Zn  0.500  0.500  0.500
Zr  0.000  0.000  0.726
Zr  0.000  0.000  0.274

Values from the calculation:
Fermi-level density of states   4.44 states/eV/cell
Theoretical density   6.0 g cm⁻³
Calculated volume   80.5 Å³/cell
Energy of formation from the pure elements   -0.12 eV/atom
Space-group type   No. 123